[1]
A plane-wave DFT calculation with PBE was carried out for a relaxed structure of Pr2Sm3Y5.

```
20
Lattice="5.383 -8.278 0.000 5.383 8.278 0.000 -5.379 0.000 7.611" Properties=species:S:1:pos:R:3 pbc="T T T"
Pr 1.332 2.060 0.333
Pr -1.357 -2.060 4.139
Pr 6.745 2.060 3.472
Pr 4.055 -2.060 7.278
Sm 1.330 2.057 3.441
Sm 4.038 3.741 1.903
Sm -1.359 -2.057 7.246
Sm 6.746 2.057 0.365
Sm 1.349 -3.741 5.708
Sm 4.057 -2.057 4.171
Y 1.349 7.853 5.708
Y -1.316 2.006 5.749
Y 1.349 4.523 5.708
Y 1.373 -2.006 1.944
Y 4.038 0.426 1.903
Y 1.349 -0.426 5.708
Y 4.014 2.006 5.667
Y 4.038 -4.523 1.903
Y 6.704 -2.006 1.862
Y 4.038 -7.853 1.903
```

ΔE to the lowest computed polymorph: 0.000 eV/atom
SG: C2/c (15)

---

[2]
A plane-wave DFT calculation with PBE was carried out for a relaxed structure of Pr3Sm5Y4.

```
12
Lattice="8.132 -3.021 0.000 8.132 3.021 0.000 -4.175 0.000 8.425" Properties=species:S:1:pos:R:3 pbc="T T T"
Pr 0.000 0.000 0.000
Pr 1.523 0.000 6.484
Pr 10.566 0.000 1.941
Sm -1.690 0.000 5.883
Sm 1.191 0.000 3.250
Sm 8.132 0.000 0.000
Sm 10.897 0.000 5.175
Sm 13.779 0.000 2.542
Y 4.203 0.000 1.041
Y 4.474 0.000 4.716
Y 7.615 0.000 3.710
Y 7.886 0.000 7.384
```

ΔE to the lowest computed polymorph: 0.200 eV/atom
SG: C2/m (12)

---

[3]
A plane-wave DFT calculation with PBE was carried out for a relaxed structure of Pr3SmY3.

```
14
Lattice="4.410 2.546 7.433 -4.410 2.546 7.433 0.000 -5.092 7.433" Properties=species:S:1:pos:R:3 pbc="T T T"
Pr -2.229 0.520 6.354
Pr 0.664 -2.190 6.354
Pr -1.565 -1.670 15.944
Pr 1.565 1.670 6.354
Pr -0.664 2.190 15.944
Pr 2.229 -0.520 15.944
Sm 0.000 0.000 3.495
Sm 0.000 0.000 18.803
Y -2.028 0.034 9.851
Y -1.043 -1.739 12.448
Y 0.984 -1.773 9.851
Y -0.984 1.773 12.448
Y 1.043 1.739 9.851
Y 2.028 -0.034 12.448
```

ΔE to the lowest computed polymorph: 0.000 eV/atom
SG: R-3 (148)

---

[4]
A plane-wave DFT calculation with PBE was carried out for a relaxed structure of Pr7Sm2Y3.

```
12
Lattice="5.977 0.000 0.000 0.000 3.672 0.000 -1.218 0.000 19.224" Properties=species:S:1:pos:R:3 pbc="T T T"
Pr 0.000 0.000 0.000
Pr 0.833 1.836 3.499
Pr 0.891 1.836 10.288
Pr 0.906 0.000 16.433
Pr 3.854 0.000 2.792
Pr 3.868 1.836 8.936
Pr 3.927 1.836 15.725
Sm 0.912 1.836 13.495
Sm 3.848 1.836 5.729
Y 0.842 0.000 7.064
Y 2.989 1.836 0.000
Y 3.918 0.000 12.160
```

SG: P2/m (10)
Total DFT energy (no corrections): -5.107 eV/atom

---

[5]
A plane-wave DFT calculation with PBE was carried out for a relaxed structure of PrSm4Y8.

```
13
Lattice="7.851 0.000 0.000 0.000 7.851 0.000 0.000 0.000 7.851" Properties=species:S:1:pos:R:3 pbc="T T T"
Pr 0.000 0.000 0.000
Sm 0.000 0.000 3.925
Sm 0.000 3.925 0.000
Sm 3.925 0.000 0.000
Sm 3.925 3.925 3.925
Y 2.047 2.047 2.047
Y 2.047 2.047 5.804
Y 2.047 5.804 2.047
Y 2.047 5.804 5.804
Y 5.804 2.047 2.047
Y 5.804 2.047 5.804
Y 5.804 5.804 2.047
Y 5.804 5.804 5.804
```

SG: Pm-3m (221)
Total DFT energy (no corrections): -5.284 eV/atom

---

[6]
A plane-wave DFT calculation with PBE was carried out for a relaxed structure of PrSm5Y5.

```
11
Lattice="9.407 -3.023 0.000 9.407 3.023 0.000 -2.308 0.000 6.628" Properties=species:S:1:pos:R:3 pbc="T T T"
Pr 0.000 0.000 0.000
Sm -1.154 0.000 3.314
Sm 4.312 0.000 5.404
Sm 6.214 0.000 2.383
Sm 10.291 0.000 4.245
Sm 12.193 0.000 1.224
Y 1.184 0.000 6.146
Y 2.401 0.000 2.801
Y 9.407 0.000 0.000
Y 14.104 0.000 3.827
Y 15.321 0.000 0.482
```

ΔE to the lowest computed polymorph: 0.000 eV/atom
SG: C2/m (12)

---

[7]
A plane-wave DFT calculation with PBE was carried out for a relaxed structure of Pr2SmY.

```
4
Lattice="5.715 0.000 0.000 0.000 1.802 6.742 0.000 -1.802 6.742" Properties=species:S:1:pos:R:3 pbc="T T T"
Pr 0.000 0.000 0.000
Pr 2.857 0.000 1.685
Sm 2.857 0.000 5.130
Y 0.000 0.000 10.000
```

ΔE to the lowest computed polymorph: 0.037 eV/atom
SG: Amm2 (38)

---

[8]
A plane-wave DFT calculation with PBE was carried out for a relaxed structure of Pr7Sm2Y.

```
10
Lattice="4.461 -8.366 0.000 4.461 8.366 0.000 0.000 0.000 5.685" Properties=species:S:1:pos:R:3 pbc="T T T"
Pr 0.000 0.000 0.000
Pr 4.461 6.600 2.842
Pr 2.802 1.751 0.000
Pr 2.802 -1.751 0.000
Pr 6.121 1.751 0.000
Pr 6.121 -1.751 0.000
Pr 4.461 -6.600 2.842
Sm 4.461 4.628 0.000
Sm 4.461 -4.628 0.000
Y 4.461 0.000 2.842
```

ΔE to the lowest computed polymorph: 0.012 eV/atom
SG: Cmmm (65)

---

[9]
A plane-wave DFT calculation with PBE was carried out for a relaxed structure of Pr8SmY2.

```
11
Lattice="9.378 -2.607 0.000 9.378 2.607 0.000 -2.164 0.000 7.945" Properties=species:S:1:pos:R:3 pbc="T T T"
Pr 0.374 0.000 1.812
Pr 1.090 0.000 5.438
Pr 4.688 0.000 4.685
Pr 7.560 0.000 0.365
Pr 9.030 0.000 7.580
Pr 11.903 0.000 3.260
Pr 15.501 0.000 2.507
Pr 16.217 0.000 6.133
Sm 8.295 0.000 3.972
Y 3.966 0.000 1.069
Y 12.625 0.000 6.876
```

ΔE to the lowest computed polymorph: 0.000 eV/atom
SG: C2/m (12)

---

[10]
A plane-wave DFT calculation with PBE was carried out for a relaxed structure of Pr15SmY4.

```
20
Lattice="5.216 0.000 0.000 0.000 5.216 0.000 0.000 0.000 25.956" Properties=species:S:1:pos:R:3 pbc="T T T"
Pr 0.000 0.000 0.000
Pr 0.000 0.000 5.203
Pr 0.000 0.000 10.382
Pr 0.000 0.000 15.574
Pr 0.000 0.000 20.753
Pr 0.000 2.608 2.606
Pr 0.000 2.608 7.790
Pr 0.000 2.608 12.978
Pr 0.000 2.608 18.166
Pr 0.000 2.608 23.350
Pr 2.608 0.000 2.606
Pr 2.608 0.000 7.790
Pr 2.608 0.000 12.978
Pr 2.608 0.000 18.166
Pr 2.608 0.000 23.350
Sm 2.608 2.608 0.000
Y 2.608 2.608 5.202
Y 2.608 2.608 10.383
Y 2.608 2.608 15.573
Y 2.608 2.608 20.754
```

SG: P4/mmm (123)
Total DFT energy (no corrections): -5.106 eV/atom

---

[11]
A plane-wave DFT calculation with PBE was carried out for a relaxed structure of Pr8Sm3Y2.

```
13
Lattice="7.422 -5.600 0.000 7.422 5.600 0.000 -1.887 0.000 5.550" Properties=species:S:1:pos:R:3 pbc="T T T"
Pr 0.695 0.000 1.314
Pr 3.331 2.571 4.635
Pr 4.298 0.000 2.092
Pr 9.627 2.571 0.915
Pr 3.331 -2.571 4.635
Pr 8.659 0.000 3.458
Pr 9.627 -2.571 0.915
Pr 12.263 0.000 4.236
Sm 6.479 2.814 2.775
Sm 7.422 0.000 0.000
Sm 6.479 -2.814 2.775
Y 1.046 0.000 4.454
Y 11.911 0.000 1.096
```

ΔE to the lowest computed polymorph: 0.000 eV/atom
SG: C2/m (12)

---

[12]
A plane-wave DFT calculation with PBE was carried out for a relaxed structure of Pr3Sm5Y4.

```
12
Lattice="6.294 0.000 0.000 -0.009 7.256 0.000 -0.003 -0.008 8.894" Properties=species:S:1:pos:R:3 pbc="T T T"
Pr 0.000 0.000 0.000
Pr 1.041 5.436 5.923
Pr 5.241 1.812 2.971
Sm -0.004 3.628 0.000
Sm 2.095 7.253 2.971
Sm 3.142 1.826 0.002
Sm 3.140 5.422 8.892
Sm 4.187 -0.005 5.923
Y 1.051 1.822 5.923
Y 2.093 3.624 2.967
Y 4.189 3.624 5.927
Y 5.231 5.426 2.971
```

ΔE to the lowest computed polymorph: 0.000 eV/atom
SG: P-1 (2)

---

[13]
A plane-wave DFT calculation with PBE was carried out for a relaxed structure of PrSmYZn.

```
4
Lattice="3.635 0.000 0.000 0.000 3.635 0.000 0.000 0.000 8.816" Properties=species:S:1:pos:R:3 pbc="T T T"
Pr 0.000 0.000 0.000
Sm 1.817 1.817 6.177
Y 1.817 1.817 2.609
Zn 0.000 0.000 4.321
```

SG: P4mm (99)
Total DFT energy (no corrections): -4.470 eV/atom

---

[14]
A plane-wave DFT calculation with PBE was carried out for a relaxed structure of Pr3Sm3YZn2.

```
9
Lattice="9.268 0.000 0.000 -4.634 8.026 0.000 0.000 0.000 3.678" Properties=species:S:1:pos:R:3 pbc="T T T"
Pr -1.462 2.532 0.000
Pr 2.924 0.000 0.000
Pr 3.172 5.494 0.000
Sm -2.896 5.016 1.839
Sm 1.738 3.010 1.839
Sm 5.792 0.000 1.839
Y 0.000 0.000 1.839
Zn 0.000 5.351 0.000
Zn 4.634 2.675 0.000
```

SG: P-62m (189)
Total DFT energy (no corrections): -4.181 eV/atom

---

[15]
A plane-wave DFT calculation with PBE was carried out for a relaxed structure of PrSmYZr.

```
4
Lattice="0.000 3.936 3.936 3.936 0.000 3.936 3.936 3.936 0.000" Properties=species:S:1:pos:R:3 pbc="T T T"
Pr 0.000 0.000 0.000
Sm 3.936 3.936 3.936
Y 1.968 1.968 1.968
Zr 5.905 5.905 5.905
```

SG: F-43m (216)
Total DFT energy (no corrections): -5.907 eV/atom

---

[16]
A plane-wave DFT calculation with PBE was carried out for a relaxed structure of Pr2SmZn.

```
4
Lattice="1.856 1.071 10.640 -1.856 1.071 10.640 0.000 -2.143 10.640" Properties=species:S:1:pos:R:3 pbc="T T T"
Pr 0.000 0.000 0.000
Pr 0.000 0.000 6.049
Sm 0.000 0.000 24.309
Zn 0.000 0.000 18.990
```

ΔE to the lowest computed polymorph: 0.117 eV/atom
SG: R3m (160)

---

[17]
A plane-wave DFT calculation with PBE was carried out for a relaxed structure of PrSmZn4.

```
6
Lattice="-2.288 3.609 3.960 2.288 -3.609 3.960 2.288 3.609 -3.960" Properties=species:S:1:pos:R:3 pbc="T T T"
Pr 0.000 0.000 0.000
Sm 0.000 3.609 0.000
Zn 2.288 1.823 -1.320
Zn 2.288 1.823 1.320
Zn 0.000 1.786 2.641
Zn 0.000 1.786 5.280
```

ΔE to the lowest computed polymorph: 0.000 eV/atom
SG: Immm (71)

---

[18]
A plane-wave DFT calculation with PBE was carried out for a relaxed structure of PrSm7Zn4.

```
12
Lattice="7.097 -2.841 0.000 7.097 2.841 0.000 -5.361 0.000 8.283" Properties=species:S:1:pos:R:3 pbc="T T T"
Pr 0.000 0.000 0.000
Sm -1.181 0.000 3.352
Sm -1.787 0.000 7.290
Sm 2.193 0.000 2.726
Sm 7.097 0.000 0.000
Sm 6.639 0.000 5.557
Sm 10.619 0.000 0.993
Sm 10.013 0.000 4.930
Zn 1.002 0.000 5.476
Zn 5.098 0.000 2.241
Zn 3.734 0.000 6.042
Zn 7.830 0.000 2.807
```

SG: C2/m (12)
Total DFT energy (no corrections): -3.585 eV/atom

---

[19]
A plane-wave DFT calculation with PBE was carried out for a relaxed structure of PrSm2Zn8.

```
11
Lattice="3.896 -7.479 0.000 3.896 7.479 0.000 -3.040 0.000 3.810" Properties=species:S:1:pos:R:3 pbc="T T T"
Pr 0.000 0.000 0.000
Sm 2.376 2.906 1.905
Sm 2.376 -2.906 1.905
Zn -0.441 1.832 2.773
Zn 3.896 4.504 0.000
Zn -0.441 -1.832 2.773
Zn 3.143 0.000 0.944
Zn 1.609 0.000 2.866
Zn 5.193 1.832 1.037
Zn 3.896 -4.504 0.000
Zn 5.193 -1.832 1.037
```

SG: C2/m (12)
Total DFT energy (no corrections): -2.534 eV/atom

---

[20]
A plane-wave DFT calculation with PBE was carried out for a relaxed structure of Pr4SmZn.

```
6
Lattice="3.788 0.000 0.000 1.894 6.320 0.000 0.009 3.300 8.155" Properties=species:S:1:pos:R:3 pbc="T T T"
Pr 0.000 0.000 0.000
Pr 1.897 7.462 3.584
Pr 1.894 2.991 1.268
Pr 1.901 4.129 4.872
Sm 3.794 6.883 6.503
Zn 3.791 5.219 2.438
```

ΔE to the lowest computed polymorph: 0.018 eV/atom
SG: P1 (1)

---

no.,total magnetization (μB per formula unit)
1,0.0
2,0.0
3,0.0
4,0.0
5,2.1
6,0.9
7,0.0
8,0.0
9,0.0
10,0.0
11,0.0
12,0.0
13,0.0
14,0.0
15,1.3
16,0.0
17,0.0
18,0.3
19,0.0
20,0.0